Density functional theory data (GGA-PBEsol) for crystalline YAgHg2 at its relaxed geometry.

Summary:
E_form: -0.337 eV/atom

abc: 3.547 3.551 6.784
angles: 90.00 90.00 90.00
Each line ends with the local moment (μB).
Atoms (fractional coordinates):
Y 0.500 0.500 0.000  0.10
Hg 0.000 0.000 0.272  0.00
Hg 0.000 0.000 0.728  0.00
Ag 0.500 0.500 0.500  0.00